(1)
! CsRb2SrBr6 PBE relaxed; values from VASP
! ρ: 2.75 g cm⁻³
! Uncorrected energy: -2.944 eV/atom
! Magnetic moment: 1.00 Bohr magnetons per cell
&SYSTEM
  ibrav = 0, nat = 10, ntyp = 4
/
ATOMIC_SPECIES
Br 79.90 Br.upf
Sr 87.62 Sr.upf
Cs 132.91 Cs.upf
Rb 85.47 Rb.upf
CELL_PARAMETERS angstrom
-8.169 1.065 3.768
-3.916 -2.167 -7.876
-6.059 -6.725 -0.347
ATOMIC_POSITIONS crystal
Br 0.734 0.734 0.533
Sr 0.500 0.500 0.000
Br 0.266 0.734 0.000
Br 0.266 0.266 0.467
Br 0.266 0.266 0.000
Br 0.734 0.266 0.000
Cs 0.000 0.000 0.000
Br 0.734 0.734 0.000
Rb 0.750 0.250 0.500
Rb 0.250 0.750 0.500

---

(2)
! CuH4SeO5 PBE relaxed; values from VASP
! ρ: 3.26 g cm⁻³
! Uncorrected energy: -5.042 eV/atom
! Magnetic moment: 3.99 Bohr magnetons per cell
&SYSTEM
  ibrav = 0, nat = 44, ntyp = 4
/
ATOMIC_SPECIES
O 16.00 O.upf
H 1.01 H.upf
Se 78.96 Se.upf
Cu 63.55 Cu.upf
CELL_PARAMETERS angstrom
6.652 0.000 0.000
0.000 7.440 0.000
0.000 0.000 9.332
ATOMIC_POSITIONS crystal
O 0.957 0.065 0.191
O 0.543 0.935 0.691
H 0.485 0.049 0.655
O 0.726 0.782 0.364
H 0.310 0.878 0.042
Se 0.022 0.293 0.860
O 0.314 0.201 0.542
O 0.000 0.483 0.968
H 0.015 0.951 0.155
Se 0.978 0.793 0.640
Se 0.522 0.207 0.140
O 0.274 0.282 0.136
O 0.774 0.218 0.864
H 0.429 0.849 0.681
H 0.985 0.451 0.345
H 0.515 0.549 0.845
O 0.516 0.107 0.311
O 0.484 0.607 0.189
O 0.043 0.565 0.309
H 0.690 0.378 0.458
Cu 0.226 0.540 0.098
H 0.120 0.817 0.945
H 0.620 0.683 0.055
O 0.226 0.718 0.636
H 0.880 0.317 0.555
H 0.190 0.122 0.542
O 0.984 0.893 0.811
O 0.457 0.435 0.809
O 0.686 0.701 0.958
H 0.380 0.183 0.445
O 0.500 0.517 0.468
H 0.071 0.151 0.181
O 0.814 0.299 0.458
Cu 0.726 0.960 0.902
O 0.016 0.393 0.689
Cu 0.774 0.040 0.402
O 0.000 0.983 0.532
Se 0.478 0.707 0.360
H 0.929 0.651 0.319
H 0.810 0.622 0.958
H 0.571 0.349 0.819
O 0.186 0.799 0.042
Cu 0.274 0.460 0.598
O 0.500 0.017 0.032